An optimized crystal structure of AsIr3S. Source: Alexandria, functional PBE-GGA.

For the density of states at the Fermi level, the calculation gives 7.6 states/eV per cell. For the total magnetization, the calculation gives 0.00 μB per formula unit. As for the raw total energy: -6.1328 eV/atom. The volume is 87.5 Å³ per cell. The formation energy without anion corrections comes out at 21.659 kcal/mol of atoms. The space group is Pm-3m. Its density is 12.97 Mg/m³.

The structure in POSCAR format:
```
AsIr3S
1.0
4.4396 0.0000 0.0000
0.0000 4.4396 0.0000
0.0000 0.0000 4.4396
As Ir S
1 3 1
direct
0.5000 0.5000 0.5000
0.0000 0.5000 0.0000
0.0000 0.0000 0.5000
0.5000 0.0000 0.0000
0.0000 0.0000 0.0000
```


An optimized crystal structure of AsIrS3. Source: Alexandria, functional PBE-GGA.

For the density of states at the Fermi level, the calculation gives 6.5 states/eV per cell. The calculation puts the offset from the most stable computed form at 0 meV/atom. For the total magnetization, the calculation gives 0.00 μB per formula unit. As for the raw total energy: -4.5066 eV/atom. The volume is 99.0 Å³ per cell. The formation energy without anion corrections comes out at 15.496 kcal/mol of atoms. The space group is Pm-3m. Its density is 6.10 Mg/m³.

The structure in POSCAR format:
```
AsIrS3
1.0
4.6256 0.0000 0.0000
0.0000 4.6256 0.0000
0.0000 0.0000 4.6256
As Ir S
1 1 3
direct
0.5000 0.5000 0.5000
0.0000 0.0000 0.0000
0.0000 0.5000 0.0000
0.0000 0.0000 0.5000
0.5000 0.0000 0.0000
```


An optimized crystal structure of AsIr2S. Source: Alexandria, functional PBE-GGA.

For the density of states at the Fermi level, the calculation gives 5.9 states/eV per cell. The calculation puts the offset from the most stable computed form at 0 meV/atom. For the total magnetization, the calculation gives 0.00 μB per formula unit. As for the raw total energy: -6.6062 eV/atom. The volume is 156.3 Å³ per cell. The formation energy without anion corrections comes out at 0.427 kcal/mol of atoms. The space group is I-42d. Its density is 10.44 Mg/m³.

The structure in POSCAR format:
```
AsIr2S
1.0
5.2436 0.0000 0.0000
0.0000 5.2436 0.0000
2.6218 2.6218 5.6847
As Ir S
2 4 2
direct
0.0000 0.0000 0.0000
0.7500 0.2500 0.5000
0.5939 0.1250 0.2500
0.1561 0.6250 0.2500
0.3750 0.4061 0.7500
0.8750 0.8439 0.7500
0.5000 0.5000 0.0000
0.2500 0.7500 0.5000
```


An optimized crystal structure of As3IrS. Source: Alexandria, functional PBE-GGA.

For the density of states at the Fermi level, the calculation gives 6.6 states/eV per cell. The calculation puts the offset from the most stable computed form at 0 meV/atom. For the total magnetization, the calculation gives 0.00 μB per formula unit. As for the raw total energy: -4.6361 eV/atom. The volume is 113.4 Å³ per cell. The formation energy without anion corrections comes out at 17.325 kcal/mol of atoms. The space group is Pm-3m. Its density is 6.58 Mg/m³.

The structure in POSCAR format:
```
As3IrS
1.0
4.8398 0.0000 0.0000
0.0000 4.8398 0.0000
0.0000 0.0000 4.8398
As Ir S
3 1 1
direct
0.0000 0.5000 0.0000
0.0000 0.0000 0.5000
0.5000 0.0000 0.0000
0.0000 0.0000 0.0000
0.5000 0.5000 0.5000
```


An optimized crystal structure of AsIr2S. Source: Alexandria, functional PBE-GGA.

For the density of states at the Fermi level, the calculation gives 5.2 states/eV per cell. The calculation puts the offset from the most stable computed form at 416 meV/atom. For the total magnetization, the calculation gives 0.00 μB per formula unit. As for the raw total energy: -6.1901 eV/atom. The volume is 59.8 Å³ per cell. The formation energy without anion corrections comes out at 10.023 kcal/mol of atoms. The space group is Fm-3m. Its density is 13.64 Mg/m³.

The structure in POSCAR format:
```
AsIr2S
1.0
0.0000 3.1039 3.1039
3.1039 0.0000 3.1039
3.1039 3.1039 0.0000
As Ir S
1 2 1
direct
0.5000 0.5000 0.5000
0.2500 0.2500 0.2500
0.7500 0.7500 0.7500
0.0000 0.0000 0.0000
```


An optimized crystal structure of As3IrS. Source: Alexandria, functional PBE-GGA.

For the density of states at the Fermi level, the calculation gives 1.2 states/eV per cell. The calculation puts the offset from the most stable computed form at 353 meV/atom. For the total magnetization, the calculation gives 0.00 μB per formula unit. As for the raw total energy: -4.2836 eV/atom. The volume is 97.6 Å³ per cell. The formation energy without anion corrections comes out at 25.455 kcal/mol of atoms. The space group is Pm-3m. Its density is 7.64 Mg/m³.

The structure in POSCAR format:
```
As3IrS
1.0
4.6046 0.0000 0.0000
0.0000 4.6046 0.0000
0.0000 0.0000 4.6046
As Ir S
3 1 1
direct
0.0000 0.5000 0.0000
0.0000 0.0000 0.5000
0.5000 0.0000 0.0000
0.5000 0.5000 0.5000
0.0000 0.0000 0.0000
```


An optimized crystal structure of As2IrS. Source: Alexandria, functional PBE-GGA.

For the density of states at the Fermi level, the calculation gives 5.2 states/eV per cell. For the total magnetization, the calculation gives 0.00 μB per formula unit. As for the raw total energy: -5.4112 eV/atom. The volume is 186.4 Å³ per cell. The formation energy without anion corrections comes out at 3.706 kcal/mol of atoms. The space group is I-42d. Its density is 6.67 Mg/m³.

The structure in POSCAR format:
```
As2IrS
1.0
-4.1477 -4.0468 0.3337
1.0105 -1.4907 -5.5180
2.1804 -6.4721 -0.9051
As Ir S
4 2 2
direct
0.6575 0.1250 0.2500
0.0925 0.6250 0.2500
0.3750 0.3425 0.7500
0.8750 0.9075 0.7500
0.0000 0.0000 0.0000
0.7500 0.2500 0.5000
0.5000 0.5000 0.0000
0.2500 0.7500 0.5000
```


An optimized crystal structure of Th4AsIrS2. Source: Alexandria, functional PBE-GGA.

For the density of states at the Fermi level, the calculation gives 5.4 states/eV per cell. For the total magnetization, the calculation gives 0.00 μB per formula unit. As for the raw total energy: -7.9086 eV/atom. The volume is 203.3 Å³ per cell. The formation energy without anion corrections comes out at -34.084 kcal/mol of atoms. The space group is P2/m. Its density is 10.29 Mg/m³.

The structure in POSCAR format:
```
Th4AsIrS2
1.0
4.0697 0.0000 0.0000
0.0000 7.1774 -0.1315
0.0000 2.5426 6.9143
Th As Ir S
4 1 1 2
direct
0.0000 0.7388 0.7643
0.0000 0.2612 0.2357
0.5000 0.7558 0.2426
0.5000 0.2442 0.7573
0.0000 0.5000 0.5000
0.5000 0.5000 0.0000
0.0000 0.0000 0.0000
0.5000 0.0000 0.5000
```


An optimized crystal structure of Y2AsIrS. Source: Alexandria, functional PBE-GGA.

For the density of states at the Fermi level, the calculation gives 3.0 states/eV per cell. For the total magnetization, the calculation gives 0.00 μB per formula unit. As for the raw total energy: -6.7263 eV/atom. The volume is 134.4 Å³ per cell. The formation energy without anion corrections comes out at -14.138 kcal/mol of atoms. The space group is P4/mmm. Its density is 5.89 Mg/m³.

The structure in POSCAR format:
```
Y2AsIrS
1.0
5.4669 0.0000 0.0000
0.0000 4.4975 0.0000
0.0000 0.0000 5.4669
Y As Ir S
2 1 1 1
direct
0.0000 0.0000 0.5000
0.5000 0.0000 0.0000
0.0000 0.5000 0.0000
0.0000 0.0000 0.0000
0.5000 0.5000 0.5000
```


An optimized crystal structure of ZnAsIrS2. Source: Alexandria, functional PBE-GGA.

For the density of states at the Fermi level, the calculation gives 4.3 states/eV per cell. For the total magnetization, the calculation gives 0.00 μB per formula unit. As for the raw total energy: -3.3958 eV/atom. The volume is 101.1 Å³ per cell. The formation energy without anion corrections comes out at 27.951 kcal/mol of atoms. The space group is P4/mmm. Its density is 6.52 Mg/m³.

The structure in POSCAR format:
```
ZnAsIrS2
1.0
4.7345 0.0000 0.0000
0.0000 4.5098 0.0000
0.0000 0.0000 4.7345
S As Ir Zn
2 1 1 1
direct
0.0000 0.0000 0.5000
0.5000 0.0000 0.0000
0.0000 0.0000 0.0000
0.5000 0.5000 0.5000
0.0000 0.5000 0.0000
```